This record from Alexandria via LeMat-Bulk describes a relaxed LiTaIr2 crystal. The functional is PBEsol.

Summary:
As for the space group: No. 160. The calculation puts the density of states at the Fermi level at 0.609 states/eV/atom. For the energy of formation, the calculation gives 4 kJ/mol of atoms.

The structure in POSCAR format:
```
LiTaIr2
1.0
-0.355 -2.606 0.762
0.300 -2.015 -1.830
9.053 -2.147 1.798
Li Ir Ta
1 2 1
direct
0.493 0.493 0.521 Li
0.003 0.003 0.992 Ir
0.749 0.749 0.752 Ir
0.255 0.255 0.234 Ta
```